No. 1
## NpNi5Ge3 (PBE)

Data for an optimized crystal structure of NpNi5Ge3.

## Properties
**Magnetization**: 8.72 μB/cell
**Uncorrected energy**: -116.89 eV per cell
**Energy of formation from the pure elements**: -0.31 eV/atom

Cell: 6.3503 6.3503 11.7765 Å, 90.00 90.00 146.13°
With the nearest neighbours (Å) after each atom.
Fractional coordinates of all 18 atoms:
Np 0.1550 0.8450 0.7500  7 Ge 3.04-3.35, 4 Ni 3.39
Np 0.8450 0.1550 0.2500  7 Ge 3.04-3.35, 4 Ni 3.39
Ni 0.0000 0.0000 0.0000  4 Ge 2.42, 6 Ni 2.47-2.59
Ni 0.0000 0.0000 0.5000  4 Ge 2.42, 6 Ni 2.47-2.59
Ni 0.1940 0.8060 0.0632  4 Ge 2.28-2.45, 1 Ni 2.47
Ni 0.1940 0.8060 0.4368  4 Ge 2.28-2.45, 1 Ni 2.47
Ni 0.4455 0.5545 0.6438  4 Ge 2.37-2.40, 3 Ni 2.50-2.59
Ni 0.4455 0.5545 0.8562  4 Ge 2.37-2.40, 3 Ni 2.50-2.59
Ni 0.5545 0.4455 0.1438  4 Ge 2.37-2.40, 3 Ni 2.50-2.59
Ni 0.5545 0.4455 0.3562  4 Ge 2.37-2.40, 3 Ni 2.50-2.59
Ni 0.8060 0.1940 0.5632  4 Ge 2.28-2.45, 1 Ni 2.47
Ni 0.8060 0.1940 0.9368  4 Ge 2.28-2.45, 1 Ni 2.47
Ge 0.1203 0.8797 0.2500  6 Ni 2.37
Ge 0.3810 0.6190 0.0488  7 Ni 2.28-2.45
Ge 0.3810 0.6190 0.4512  7 Ni 2.28-2.45
Ge 0.6190 0.3810 0.5488  7 Ni 2.28-2.45
Ge 0.6190 0.3810 0.9512  7 Ni 2.28-2.45
Ge 0.8797 0.1203 0.7500  6 Ni 2.37

***

No. 2
## Np2Ni3Ge4 (PBE)

Data for an optimized crystal structure of Np2Ni3Ge4.

## Properties
**Magnetization**: 15.57 μB/cell
**Uncorrected energy**: -129.03 eV per cell
**Energy of formation from the pure elements**: -0.31 eV/atom

Cell: 7.7110 7.7110 7.3260 Å, 90.00 90.00 137.72°
With the nearest neighbours (Å) after each atom.
Fractional coordinates of all 18 atoms:
Np 0.1066 0.8934 0.9035  8 Ge 2.97-3.14, 4 Ni 2.98-3.25
Np 0.3934 0.6066 0.4035  8 Ge 2.97-3.14, 4 Ni 2.98-3.25
Np 0.6066 0.3934 0.5965  8 Ge 2.97-3.14, 4 Ni 2.98-3.25
Np 0.8934 0.1066 0.0965  8 Ge 2.97-3.14, 4 Ni 2.98-3.25
Ni 0.0000 0.0000 0.5000  6 Ge 2.46-2.64
Ni 0.0228 0.4772 0.7500  5 Ge 2.41-2.52
Ni 0.4772 0.0228 0.2500  5 Ge 2.41-2.52
Ni 0.5000 0.5000 0.0000  6 Ge 2.46-2.64
Ni 0.5228 0.9772 0.7500  5 Ge 2.41-2.52
Ni 0.9772 0.5228 0.2500  5 Ge 2.41-2.52
Ge 0.1833 0.8167 0.5223  5 Ni 2.51-2.64
Ge 0.1900 0.3100 0.7500  3 Ni 2.41-2.46
Ge 0.3100 0.1900 0.2500  3 Ni 2.41-2.46
Ge 0.3167 0.6833 0.0223  5 Ni 2.51-2.64
Ge 0.6833 0.3167 0.9777  5 Ni 2.51-2.64
Ge 0.6900 0.8100 0.7500  3 Ni 2.41-2.46
Ge 0.8100 0.6900 0.2500  3 Ni 2.41-2.46
Ge 0.8167 0.1833 0.4777  5 Ni 2.51-2.64

***

No. 3
## NpNiGe (PBE)

Data for an optimized crystal structure of NpNiGe.

## Properties
**Magnetization**: 3.60 μB/cell
**Uncorrected energy**: -24.07 eV per cell
**Energy of formation from the pure elements**: -0.24 eV/atom

Cell: 4.2122 4.2122 3.5548 Å, 90.00 90.00 120.00°
With the nearest neighbours (Å) after each atom.
Fractional coordinates of all 3 atoms:
Np 0.0000 0.0000 0.0000  6 Ge 3.01, 6 Ni 3.01
Ni 0.3333 0.6667 0.5000  3 Ge 2.43
Ge 0.6667 0.3333 0.5000  3 Ni 2.43